The following is a GGA-PBE calculation of a relaxed structure of Nd2ZrAl4Au3, from Alexandria.

Results
Volume in Å³/f.u.: 213.8
ΔE_f in eV per atom: -0.62
Spin magnetization in μB/cell: 0.00

```
data_Nd2ZrAl4Au3
_chemical_formula_sum 'Nd2 Zr1 Al4 Au3'
_cell_length_a 4.338
_cell_length_b 4.338
_cell_length_c 11.362
_cell_angle_alpha 90.00
_cell_angle_beta 90.00
_cell_angle_gamma 90.00
_space_group_name_H-M_alt 'P -4 m 2'
_space_group_IT_number 115
loop_
_space_group_symop_operation_xyz
'x,y,z'
'y,-x,-z'
'-x,-y,z'
'-y,x,-z'
'-x,y,z'
'-y,-x,-z'
'x,-y,z'
'y,x,-z'
loop_
_atom_site_label
_atom_site_type_symbol
_atom_site_fract_x
_atom_site_fract_y
_atom_site_fract_z
Nd1 Nd 0.000 0.500 0.244
Zr1 Zr 0.000 0.000 0.500
Al1 Al 0.000 0.000 0.000
Al2 Al 0.000 0.500 0.653
Al3 Al 0.500 0.500 0.000
Au1 Au 0.000 0.500 0.875
Au2 Au 0.500 0.500 0.500
```


The following is a GGA-PBE calculation of a relaxed structure of Cs2RbSnF6, from Alexandria.

Results
Volume in Å³/f.u.: 248.2
Spin magnetization in μB/cell: 0.00
Formation energy without anion corrections in meV per atom: -2647

```
data_Cs2RbSnF6
_chemical_formula_sum 'Cs12 Rb6 Sn6 F36'
_cell_length_a 6.9803
_cell_length_b 6.9803
_cell_length_c 35.2876
_cell_angle_alpha 90.00
_cell_angle_beta 90.00
_cell_angle_gamma 120.00
_space_group_name_H-M_alt 'R -3 m'
_space_group_IT_number 166
_space_group_name_Hall '-R 3 2"'
loop_
_atom_site_label
_atom_site_type_symbol
_atom_site_fract_x
_atom_site_fract_y
_atom_site_fract_z
Cs1 Cs 0.0000 0.0000 0.1418
Cs2 Cs 0.0000 0.0000 0.2639
Rb1 Rb 0.0000 0.0000 0.4020
Sn1 Sn 0.0000 0.0000 0.0000
Sn2 Sn 0.0000 0.0000 0.5000
F1 F 0.0111 0.5055 0.1262
F2 F 0.0634 0.5317 0.6997
```


The following is a GGA-PBE calculation of a relaxed structure of Si2RhBr, from Alexandria.

Results
Volume in Å³/f.u.: 68.3
Spin magnetization in μB/cell: 0.00
Formation energy without anion corrections in meV per atom: 98

```
data_Si2RhBr
_chemical_formula_sum 'Si2 Rh1 Br1'
_cell_length_a 3.119
_cell_length_b 3.119
_cell_length_c 7.027
_cell_angle_alpha 90.00
_cell_angle_beta 90.00
_cell_angle_gamma 90.00
_space_group_name_H-M_alt 'P 4/m m m'
_space_group_IT_number 123
_space_group_name_Hall '-P 4 2'
loop_
_atom_site_label
_atom_site_type_symbol
_atom_site_fract_x
_atom_site_fract_y
_atom_site_fract_z
Si1 Si 0.000 0.000 0.199
Rh1 Rh 0.500 0.500 0.000
Br1 Br 0.500 0.500 0.500
```


The following is a GGA-PBE calculation of a relaxed structure of NbNi2RhN, from Alexandria.

Results
Volume in Å³/f.u.: 61.0
Spin magnetization in μB/cell: 0.00
Formation energy without anion corrections in meV per atom: -284

```
data_NbNi2RhN
_chemical_formula_sum 'Nb1 Ni2 Rh1 N1'
_cell_length_a 3.810
_cell_length_b 3.810
_cell_length_c 4.202
_cell_angle_alpha 90.00
_cell_angle_beta 90.00
_cell_angle_gamma 90.00
_space_group_name_H-M_alt 'P 4/m m m'
_space_group_IT_number 123
_space_group_name_Hall '-P 4 2'
loop_
_atom_site_label
_atom_site_type_symbol
_atom_site_fract_x
_atom_site_fract_y
_atom_site_fract_z
Nb1 Nb 0.000 0.000 0.000
Ni1 Ni 0.000 0.500 0.500
Rh1 Rh 0.500 0.500 0.000
N1 N 0.000 0.000 0.500
```